Entry 1:
# SrBeCu

SrBeCu after structural relaxation (PBE-GGA, Alexandria via LeMat-Bulk).

Structure (POSCAR):
```
SrBeCu
1.0
4.2735 0.0000 0.0000
0.0000 4.8044 0.0000
0.0000 2.4022 7.1398
Sr Be Cu
2 2 2
Direct
0.7500 0.6371 0.7258 Sr
0.2500 0.3629 0.2742 Sr
0.5000 0.0000 0.0000 Be
0.0000 0.0000 0.0000 Be
0.7500 0.8672 0.2657 Cu
0.2500 0.1328 0.7343 Cu
```

Values from the calculation:
- E_tot: -2.94 eV per atom
- Calculated density: 3.63 Mg/m³
- SG: Cmcm, No. 63

Entry 2:
# TaBeCu3

TaBeCu3 after structural relaxation (PBE-GGA, Alexandria via LeMat-Bulk).

Structure (POSCAR):
```
TaBeCu3
1.0
4.7638 0.0000 0.0000
0.0000 4.7638 0.0000
0.0000 0.0000 4.7638
Be Cu Ta
1 3 1
Direct
0.5000 0.5000 0.5000 Be
0.0000 0.5000 0.0000 Cu
0.0000 0.0000 0.5000 Cu
0.5000 0.0000 0.0000 Cu
0.0000 0.0000 0.0000 Ta
```

Values from the calculation:
- E_tot: -3.72 eV per atom
- Calculated density: 5.85 Mg/m³
- SG: Pm-3m, No. 221

Entry 3:
# TaBe3Cu

TaBe3Cu after structural relaxation (PBE-GGA, Alexandria via LeMat-Bulk).

Structure (POSCAR):
```
TaBe3Cu
1.0
-1.4238 0.4987 -4.1843
-0.2779 -4.4182 -0.4320
-4.2047 0.1231 1.4455
Be Cu Ta
3 1 1
Direct
0.0000 0.5000 0.0000 Be
0.0000 0.0000 0.5000 Be
0.5000 0.0000 0.0000 Be
0.5000 0.5000 0.5000 Cu
0.0000 0.0000 0.0000 Ta
```

Values from the calculation:
- E_tot: -3.58 eV per atom
- Calculated density: 5.12 Mg/m³
- SG: Pm-3m, No. 221

Entry 4:
# TaBe2Cu

TaBe2Cu after structural relaxation (PBE-GGA, Alexandria via LeMat-Bulk).

Structure (POSCAR):
```
TaBe2Cu
1.0
2.7036 -0.0105 0.0000
0.0106 2.7036 0.0000
0.0000 0.0000 6.3558
Be Cu Ta
2 1 1
Direct
0.0000 0.0000 0.0537 Be
0.5000 0.5000 0.2296 Be
0.0000 0.0000 0.4435 Cu
0.5000 0.5000 0.7732 Ta
```

Values from the calculation:
- E_tot: -5.87 eV per atom
- Calculated density: 9.38 Mg/m³
- SG: P4mm, No. 99

Entry 5:
# TaBe2Cu

TaBe2Cu after structural relaxation (PBE-GGA, Alexandria via LeMat-Bulk).

Structure (POSCAR):
```
TaBe2Cu
1.0
8.3665 0.0465 0.0273
7.9264 2.6780 0.0273
7.9264 1.3255 2.3272
Be Cu Ta
2 1 1
Direct
0.9913 0.9913 0.9913 Be
0.5087 0.5087 0.5087 Be
0.2500 0.2500 0.2500 Cu
0.7500 0.7500 0.7500 Ta
```

Values from the calculation:
- E_tot: -5.55 eV per atom
- Calculated density: 8.60 Mg/m³
- SG: R-3m, No. 166

Entry 6:
# TaBe2Cu

TaBe2Cu after structural relaxation (PBE-GGA, Alexandria via LeMat-Bulk).

Structure (POSCAR):
```
TaBe2Cu
1.0
4.0584 0.0198 -0.0072
3.0924 2.6284 -0.0072
1.1261 0.4170 4.5417
Be Cu Ta
2 1 1
Direct
0.9788 0.9788 0.0770 Be
0.2574 0.2574 0.2343 Be
0.5199 0.5199 0.4225 Cu
0.7439 0.7439 0.7662 Ta
```

Values from the calculation:
- E_tot: -5.69 eV per atom
- Calculated density: 9.05 Mg/m³
- SG: Cm, No. 8

Entry 7:
# TaBe3Cu

TaBe3Cu after structural relaxation (PBE-GGA, Alexandria via LeMat-Bulk).

Structure (POSCAR):
```
TaBe3Cu
1.0
-0.6939 -1.3754 3.5788
3.2806 -2.0952 -0.1691
1.9842 2.9832 1.5312
Be Cu Ta
3 1 1
Direct
0.0000 0.5000 0.0000 Be
0.0000 0.0000 0.5000 Be
0.5000 0.0000 0.0000 Be
0.0000 0.0000 0.0000 Cu
0.5000 0.5000 0.5000 Ta
```

Values from the calculation:
- E_tot: -4.96 eV per atom
- Calculated density: 7.62 Mg/m³
- SG: Pm-3m, No. 221

Entry 8:
# TaBe2Cu

TaBe2Cu after structural relaxation (PBE-GGA, Alexandria via LeMat-Bulk).

Structure (POSCAR):
```
TaBe2Cu
1.0
-0.1509 3.3783 3.6560
-3.7180 -0.4640 3.2807
4.1456 -1.8018 -2.0903
Be Cu Ta
2 1 1
Direct
0.0228 0.0228 0.0000 Be
0.4772 0.4772 0.0000 Be
0.2500 0.7500 0.5000 Cu
0.7500 0.2500 0.5000 Ta
```

Values from the calculation:
- E_tot: -5.56 eV per atom
- Calculated density: 8.69 Mg/m³
- SG: Immm, No. 71

Entry 9:
# TaBe2Cu

TaBe2Cu after structural relaxation (PBE-GGA, Alexandria via LeMat-Bulk).

Structure (POSCAR):
```
TaBe2Cu
1.0
-2.9928 4.7972 2.6908
-5.0460 -1.1755 -3.5167
-4.9177 0.2314 1.4039
Be Cu Ta
4 2 2
Direct
0.5887 0.1250 0.2500 Be
0.1613 0.6250 0.2500 Be
0.3750 0.4113 0.7500 Be
0.8750 0.8387 0.7500 Be
0.5000 0.5000 0.0000 Cu
0.2500 0.7500 0.5000 Cu
0.0000 0.0000 0.0000 Ta
0.7500 0.2500 0.5000 Ta
```

Values from the calculation:
- E_tot: -5.43 eV per atom
- Calculated density: 8.65 Mg/m³
- SG: I-42d, No. 122

Entry 10:
# TaBe2Cu

TaBe2Cu after structural relaxation (PBE-GGA, Alexandria via LeMat-Bulk).

Structure (POSCAR):
```
TaBe2Cu
1.0
3.6363 -0.0023 -0.0003
1.8162 3.1503 -0.0003
1.8182 1.0499 4.0437
Be Cu Ta
2 1 1
Direct
0.9605 0.9605 0.1171 Be
0.5395 0.5395 0.3829 Be
0.2500 0.2500 0.2500 Cu
0.7500 0.7500 0.7500 Ta
```

Values from the calculation:
- E_tot: -5.83 eV per atom
- Calculated density: 9.41 Mg/m³
- SG: R-3m, No. 166

Entry 11:
# Ta4BeCu

Ta4BeCu after structural relaxation (PBE-GGA, Alexandria via LeMat-Bulk).

Structure (POSCAR):
```
Ta4BeCu
1.0
0.3179 -5.0996 -1.6457
-4.4434 -2.9926 -0.3395
-1.9361 -1.3941 -4.8086
Ta Be Cu
4 1 1
Direct
0.8735 0.3755 0.3755 Ta
0.3755 0.3755 0.8735 Ta
0.3755 0.8735 0.3755 Ta
0.3755 0.3755 0.3755 Ta
0.7500 0.7500 0.7500 Be
0.0000 0.0000 0.0000 Cu
```

Values from the calculation:
- E_tot: -8.37 eV per atom
- Calculated density: 12.09 Mg/m³
- SG: F-43m, No. 216

Entry 12:
# Ta3Be7Cu2

Ta3Be7Cu2 after structural relaxation (PBE-GGA, Alexandria via LeMat-Bulk).

Structure (POSCAR):
```
Ta3Be7Cu2
1.0
-3.8905 1.8357 -1.7225
-4.0494 -0.7357 2.1292
-1.6237 6.2760 4.1227
Ta Be Cu
3 7 2
Direct
0.0000 0.0000 0.0000 Ta
0.8585 0.8585 0.4245 Ta
0.1415 0.1415 0.5755 Ta
0.5000 0.5000 0.5000 Be
0.9240 0.4094 0.2571 Be
0.4094 0.9240 0.2571 Be
0.4094 0.4094 0.2571 Be
0.0760 0.5906 0.7429 Be
0.5906 0.5906 0.7429 Be
0.5906 0.0760 0.7429 Be
0.6647 0.6647 0.0058 Cu
0.3353 0.3353 0.9942 Cu
```

Values from the calculation:
- E_tot: -6.01 eV per atom
- Calculated density: 9.09 Mg/m³
- SG: R-3m, No. 166

Entry 13:
# TaBe2Cu

TaBe2Cu after structural relaxation (PBE-GGA, Alexandria via LeMat-Bulk).

Structure (POSCAR):
```
TaBe2Cu
1.0
0.0000 2.8488 2.8488
2.8488 0.0000 2.8488
2.8488 2.8488 0.0000
Be Cu Ta
2 1 1
Direct
0.2500 0.2500 0.2500 Be
0.7500 0.7500 0.7500 Be
0.0000 0.0000 0.0000 Cu
0.5000 0.5000 0.5000 Ta
```

Values from the calculation:
- E_tot: -5.72 eV per atom
- Calculated density: 9.43 Mg/m³
- SG: Fm-3m, No. 225

Entry 14:
# TaBe2Cu

TaBe2Cu after structural relaxation (PBE-GGA, Alexandria via LeMat-Bulk).

Structure (POSCAR):
```
TaBe2Cu
1.0
3.6038 0.0000 0.0000
0.0000 2.6846 0.0101
0.0000 1.3291 4.8767
Be Cu Ta
2 1 1
Direct
0.0000 0.1740 0.0272 Be
0.5000 0.0578 0.2595 Be
0.0000 0.4750 0.4240 Cu
0.5000 0.7932 0.7894 Ta
```

Values from the calculation:
- E_tot: -5.82 eV per atom
- Calculated density: 9.25 Mg/m³
- SG: Amm2, No. 38

Entry 15:
# Ta12Be3Cu5

Ta12Be3Cu5 after structural relaxation (PBE-GGA, Alexandria via LeMat-Bulk).

Structure (POSCAR):
```
Ta12Be3Cu5
1.0
12.5407 0.0000 0.0000
-4.1802 11.8234 0.0000
-4.1802 -5.9117 10.2394
Be Cu Ta
12 20 48
Direct
0.7500 0.3750 0.1250 Be
0.8750 0.7500 0.1250 Be
0.3750 0.7500 0.6250 Be
0.2500 0.1250 0.3750 Be
0.8750 0.1250 0.2500 Be
0.3750 0.6250 0.2500 Be
0.6250 0.3750 0.7500 Be
0.1250 0.8750 0.7500 Be
0.7500 0.8750 0.6250 Be
0.6250 0.2500 0.3750 Be
0.1250 0.2500 0.8750 Be
0.2500 0.6250 0.8750 Be
0.1250 0.3750 0.2500 Cu
0.0000 0.5000 0.0000 Cu
0.0000 0.0000 0.0000 Cu
0.3750 0.2500 0.1250 Cu
0.5000 0.0000 0.5000 Cu
0.5000 0.5000 0.0000 Cu
0.1250 0.7500 0.3750 Cu
0.7500 0.1250 0.8750 Cu
0.7500 0.6250 0.3750 Cu
0.3750 0.1250 0.7500 Cu
0.6250 0.8750 0.2500 Cu
0.5000 0.5000 0.5000 Cu
0.5000 0.0000 0.0000 Cu
0.0000 0.0000 0.5000 Cu
0.2500 0.3750 0.6250 Cu
0.2500 0.8750 0.1250 Cu
0.0000 0.5000 0.5000 Cu
0.8750 0.2500 0.6250 Cu
0.6250 0.7500 0.8750 Cu
0.8750 0.6250 0.7500 Cu
0.7318 0.1326 0.0675 Ta
0.3357 0.5675 0.4348 Ta
0.9325 0.3674 0.2682 Ta
0.5675 0.2318 0.1326 Ta
0.5992 0.7318 0.6643 Ta
0.9325 0.5652 0.1643 Ta
0.3357 0.7682 0.4008 Ta
0.0652 0.9008 0.1326 Ta
0.5652 0.9325 0.6643 Ta
0.7318 0.5992 0.1643 Ta
0.7682 0.4325 0.3674 Ta
0.8357 0.9348 0.0675 Ta
0.1326 0.7318 0.5675 Ta
0.3674 0.4348 0.0992 Ta
0.0992 0.9348 0.3674 Ta
0.4008 0.1326 0.5652 Ta
0.0992 0.1643 0.2318 Ta
0.4325 0.6643 0.0652 Ta
0.8357 0.9008 0.2682 Ta
0.1326 0.4008 0.0652 Ta
0.3674 0.9325 0.7682 Ta
0.5652 0.6326 0.4008 Ta
0.9348 0.8357 0.5675 Ta
0.7682 0.3357 0.9008 Ta
0.4348 0.3674 0.5992 Ta
0.0652 0.1643 0.4325 Ta
0.2318 0.6643 0.0992 Ta
0.1643 0.0992 0.7318 Ta
0.6326 0.0675 0.2318 Ta
0.8674 0.5992 0.9348 Ta
0.5675 0.3357 0.9348 Ta
0.5992 0.8674 0.4348 Ta
0.9008 0.8357 0.7682 Ta
0.9008 0.0652 0.6326 Ta
0.8674 0.2682 0.4325 Ta
0.1643 0.0652 0.9325 Ta
0.6326 0.5652 0.9008 Ta
0.4348 0.0675 0.3357 Ta
0.2682 0.4008 0.8357 Ta
0.2318 0.5675 0.6326 Ta
0.9348 0.0992 0.8674 Ta
0.6643 0.2318 0.5992 Ta
0.4325 0.7682 0.8674 Ta
0.0675 0.4348 0.8357 Ta
0.4008 0.2682 0.3357 Ta
0.0675 0.6326 0.7318 Ta
0.6643 0.4325 0.5652 Ta
0.2682 0.8674 0.9325 Ta
```

Values from the calculation:
- E_tot: -7.72 eV per atom
- Calculated density: 11.01 Mg/m³
- SG: Ia-3d, No. 230

Entry 16:
# TaBe4Cu

TaBe4Cu after structural relaxation (PBE-GGA, Alexandria via LeMat-Bulk).

Structure (POSCAR):
```
TaBe4Cu
1.0
0.0000 3.1547 3.1547
3.1547 0.0000 3.1547
3.1547 3.1547 0.0000
Ta Be Cu
1 4 1
Direct
0.0000 0.0000 0.0000 Ta
0.8882 0.3706 0.3706 Be
0.3706 0.3706 0.8882 Be
0.3706 0.8882 0.3706 Be
0.3706 0.3706 0.3706 Be
0.7500 0.7500 0.7500 Cu
```

Values from the calculation:
- E_tot: -5.10 eV per atom
- Calculated density: 7.42 Mg/m³
- SG: F-43m, No. 216

Entry 17:
# Ta2BeCu2

Ta2BeCu2 after structural relaxation (PBE-GGA, Alexandria via LeMat-Bulk).

Structure (POSCAR):
```
Ta2BeCu2
1.0
5.9665 0.0000 0.0000
0.0000 5.9665 0.0000
0.0000 0.0000 3.9867
Be Cu Ta
2 4 4
Direct
0.0000 0.0000 0.0000 Be
0.5000 0.5000 0.0000 Be
0.3574 0.8574 0.0000 Cu
0.8574 0.6426 0.0000 Cu
0.6426 0.1426 0.0000 Cu
0.1426 0.3574 0.0000 Cu
0.1711 0.6711 0.5000 Ta
0.6711 0.8289 0.5000 Ta
0.8289 0.3289 0.5000 Ta
0.3289 0.1711 0.5000 Ta
```

Values from the calculation:
- E_tot: -6.93 eV per atom
- Calculated density: 11.65 Mg/m³
- SG: P4/mbm, No. 127

Entry 18:
# Ta2Be2Cu

Ta2Be2Cu after structural relaxation (PBE-GGA, Alexandria via LeMat-Bulk).

Structure (POSCAR):
```
Ta2Be2Cu
1.0
-3.9101 -3.8767 -2.2353
4.4384 -3.7381 -1.2809
-0.3488 -1.5362 3.2744
Be Cu Ta
4 2 4
Direct
0.3726 0.8726 0.0000 Be
0.8726 0.6274 0.0000 Be
0.6274 0.1274 0.0000 Be
0.1274 0.3726 0.0000 Be
0.0000 0.0000 0.0000 Cu
0.5000 0.5000 0.0000 Cu
0.1699 0.6699 0.5000 Ta
0.6699 0.8301 0.5000 Ta
0.8301 0.3301 0.5000 Ta
0.3301 0.1699 0.5000 Ta
```

Values from the calculation:
- E_tot: -7.18 eV per atom
- Calculated density: 11.48 Mg/m³
- SG: P4/mbm, No. 127

Entry 19:
# TaBeCu4

TaBeCu4 after structural relaxation (PBE-GGA, Alexandria via LeMat-Bulk).

Structure (POSCAR):
```
TaBeCu4
1.0
0.0000 3.3757 3.3757
3.3757 0.0000 3.3757
3.3757 3.3757 0.0000
Ta Be Cu
1 1 4
Direct
0.2500 0.2500 0.2500 Ta
0.0000 0.0000 0.0000 Be
0.6252 0.6252 0.1244 Cu
0.6252 0.1244 0.6252 Cu
0.6252 0.6252 0.6252 Cu
0.1244 0.6252 0.6252 Cu
```

Values from the calculation:
- E_tot: -5.09 eV per atom
- Calculated density: 9.59 Mg/m³
- SG: F-43m, No. 216

Entry 20:
# TaBe2Cu

TaBe2Cu after structural relaxation (PBE-GGA, Alexandria via LeMat-Bulk).

Structure (POSCAR):
```
TaBe2Cu
1.0
-0.6440 2.2467 -1.4913
-2.6128 -0.8992 -0.2264
-1.4527 2.9457 5.0651
Be Cu Ta
2 1 1
Direct
0.0000 0.0000 0.0454 Be
0.0000 0.0000 0.4546 Be
0.5000 0.5000 0.2500 Cu
0.5000 0.5000 0.7500 Ta
```

Values from the calculation:
- E_tot: -5.92 eV per atom
- Calculated density: 9.39 Mg/m³
- SG: P4/mmm, No. 123

Number 1: density of states at the Fermi level 3.3 states/eV per cell, ΔE_f 230 meV/atom, total moment 0.00 μB/f.u.. Number 2: density of states at the Fermi level 3.5 states/eV per cell, ΔE_f 1856 meV/atom, total moment 0.00 μB/f.u.. Number 3: density of states at the Fermi level 3.9 states/eV per cell, ΔE_f 1850 meV/atom, total moment 0.00 μB/f.u.. Number 4: density of states at the Fermi level 2.2 states/eV per cell, ΔE_f -17 meV/atom, total moment 0.00 μB/f.u.. Number 5: density of states at the Fermi level 2.3 states/eV per cell, ΔE_f 300 meV/atom, total moment 0.00 μB/f.u.. Number 6: density of states at the Fermi level 1.0 states/eV per cell, ΔE_f 161 meV/atom, total moment 0.00 μB/f.u.. Number 7: density of states at the Fermi level 1.3 states/eV per cell, ΔE_f 469 meV/atom, total moment 0.00 μB/f.u.. Number 8: density of states at the Fermi level 1.7 states/eV per cell, ΔE_f 287 meV/atom, total moment 0.00 μB/f.u.. Number 9: density of states at the Fermi level 2.9 states/eV per cell, ΔE_f 420 meV/atom, total moment 0.00 μB/f.u.. Number 10: density of states at the Fermi level 1.7 states/eV per cell, ΔE_f 20 meV/atom, total moment 0.00 μB/f.u.. Number 11: density of states at the Fermi level 7.2 states/eV per cell, ΔE_f 831 meV/atom, total moment 0.00 μB/f.u.. Number 12: density of states at the Fermi level 5.6 states/eV per cell, ΔE_f -188 meV/atom, total moment 0.00 μB/f.u.. Number 13: density of states at the Fermi level 1.7 states/eV per cell, ΔE_f 134 meV/atom, total moment 0.00 μB/f.u.. Number 14: density of states at the Fermi level 1.8 states/eV per cell, ΔE_f 33 meV/atom, total moment 0.00 μB/f.u.. Number 15: density of states at the Fermi level 79.0 states/eV per cell, ΔE_f 976 meV/atom, total moment 0.00 μB/f.u.. Number 16: density of states at the Fermi level 2.0 states/eV per cell, ΔE_f 38 meV/atom, total moment 0.00 μB/f.u.. Number 17: density of states at the Fermi level 2.9 states/eV per cell, ΔE_f 195 meV/atom, total moment 0.00 μB/f.u.. Number 18: density of states at the Fermi level 4.9 states/eV per cell, ΔE_f -126 meV/atom, total moment 0.00 μB/f.u.. Number 19: density of states at the Fermi level 3.7 states/eV per cell, ΔE_f 233 meV/atom, total moment 0.00 μB/f.u.. Number 20: density of states at the Fermi level 1.1 states/eV per cell, ΔE_f -74 meV/atom, total moment 0.00 μB/f.u..